VASP calculation (PBE-GGA) on a relaxed La8Pt2Rh crystal.

## Properties
- V (A^3/atom) = 32.17
- DOS(E_F) (states/eV per atom) = 1.11
- VASP energy (eV/atom) = -5.951

Unit cell a=19.119 b=4.059 c=9.145 alpha=90.00 beta=94.23 gamma=90.00
Space group C2/m (No. 12)
Inequivalent atoms, fractional coordinates:
La (0.005, 0.000, 0.212)
La (0.096, 0.500, 0.530)
La (0.155, 0.500, 0.976)
La (0.223, 0.000, 0.336)
Pt (0.167, 0.000, 0.737)
Rh (0.000, 0.500, 0.000)

VASP calculation (PBE-GGA) on a relaxed Rb crystal.

## Properties
- V (A^3/atom) = 89.95
- relative energy among the computed polymorphs (meV/atom) = 14
- DOS(E_F) (states/eV per atom) = 0.76

Unit cell a=8.961 b=8.961 c=8.961 alpha=90.00 beta=90.00 gamma=90.00
Space group Pm-3n (No. 223)
Inequivalent atoms, fractional coordinates:
Rb (0.000, 0.000, 0.000)
Rb (0.000, 0.250, 0.500)

VASP calculation (PBE-GGA) on a relaxed BaCaCdN2 crystal.

## Properties
- V (A^3/atom) = 22.37
- formation energy (no corrections) (eV/atom) = 1.25
- DOS(E_F) (states/eV per atom) = 0.89

Unit cell a=4.706 b=4.706 c=5.051 alpha=90.00 beta=90.00 gamma=90.00
Space group P4/mmm (No. 123)
Inequivalent atoms, fractional coordinates:
Ba (0.000, 0.000, 0.000)
Ca (0.500, 0.500, 0.000)
Cd (0.500, 0.500, 0.500)
N (0.000, 0.500, 0.500)

VASP calculation (PBE-GGA) on a relaxed H4Pd2Pt crystal.

## Properties
- V (A^3/atom) = 8.79
- relative energy among the computed polymorphs (meV/atom) = 18
- DOS(E_F) (states/eV per atom) = 0.22

Unit cell a=2.921 b=4.876 c=4.892 alpha=110.52 beta=93.00 gamma=106.75
Space group P-1 (No. 2)
Inequivalent atoms, fractional coordinates:
H (0.103, 0.227, 0.468)
H (0.358, 0.725, 0.108)
Pd (0.182, 0.327, 0.152)
Pt (0.500, 0.000, 0.500)

VASP calculation (PBE-GGA) on a relaxed Pm2TiAlIr2 crystal.

## Properties
- V (A^3/atom) = 21.19
- DOS(E_F) (states/eV per atom) = 0.89
- VASP energy (eV/atom) = -7.226

Unit cell a=5.883 b=13.766 c=6.280 alpha=90.00 beta=90.00 gamma=90.00
Space group Ibam (No. 72)
Inequivalent atoms, fractional coordinates:
Pm (0.246, 0.176, 0.000)
Ti (0.000, 0.500, 0.250)
Al (0.000, 0.000, 0.250)
Ir (0.243, 0.396, 0.000)

VASP calculation (PBE-GGA) on a relaxed LaSi2Pd6 crystal.

## Properties
- V (A^3/atom) = 19.37
- formation energy (no corrections) (eV/atom) = -0.63
- DOS(E_F) (states/eV per atom) = 0.39

Unit cell a=5.6436 b=5.6436 c=6.3203 alpha=90.00 beta=90.00 gamma=120.00
Space group P6/mmm (No. 191)
Inequivalent atoms, fractional coordinates:
La (0.0000, 0.0000, 0.0000)
Si (0.3333, 0.6667, 0.5000)
Pd (0.0000, 0.5000, 0.2216)

Please write out number 4 again, unchanged.
VASP calculation (PBE-GGA) on a relaxed H4Pd2Pt crystal.

## Properties
- V (A^3/atom) = 8.79
- relative energy among the computed polymorphs (meV/atom) = 18
- DOS(E_F) (states/eV per atom) = 0.22

Unit cell a=2.921 b=4.876 c=4.892 alpha=110.52 beta=93.00 gamma=106.75
Space group P-1 (No. 2)
Inequivalent atoms, fractional coordinates:
H (0.103, 0.227, 0.468)
H (0.358, 0.725, 0.108)
Pd (0.182, 0.327, 0.152)
Pt (0.500, 0.000, 0.500)

Q: What is the formula in the first record?
A: La8Pt2Rh

Q: What is the DOS(E_F) in the fourth record?
A: 0.22 states/eV per atom